ScFe3B3 | PBE | optimized geometry

**Uncorrected energy**: -7.38 eV/atom
**Crystal system**: cubic

abc: 5.449 5.449 5.449
angles: 90.00 90.00 90.00
Space group Pm-3n (No. 223)
Unique sites:
Sc  0.000  0.000  0.000 (multiplicity 2)
Fe  0.000  0.250  0.500 (multiplicity 6)
B  0.000  0.500  0.250 (multiplicity 6)